{
  "formula": "Li2LaAgI6",
  "functional": "PBE-GGA",
  "state": "relaxed",
  "cell": [[-5.318, 1.069, -5.482], [-3.798, -6.041, -2.936], [-8.140, -0.952, 2.269]],
  "species": ["I", "I", "I", "I", "I", "I", "Ag", "La", "Li", "Li"],
  "frac_coords": [[0.397, 0.760, 0.722], [0.252, 0.907, 0.224], [0.907, 0.617, 0.224], [0.618, 0.250, 0.224], [0.757, 0.124, 0.720], [0.121, 0.400, 0.722], [0.748, 0.751, 0.752], [0.329, 0.329, 0.013], [0.528, 0.523, 0.421], [0.004, 0.001, 0.994]],
  "formation_energy_uncorrected_ev_per_atom": -1.1015,
  "spacegroup": "P1, No. 1",
  "magnetic_moment_mub_per_cell": 0.00
}